# 1
Compound: KCl5
Source: Alexandria via LeMat-Bulk
Functional: PBE
Structure: optimized geometry

Properties
Formation energy (no corrections) = -0.645 eV per atom

CIF file:
```
data_KCl5
_space_group_name_H-M_alt 'C 1 m 1'
_space_group_IT_number 8
_cell_length_a 10.109
_cell_length_b 4.879
_cell_length_c 9.665
_cell_angle_alpha 90.00
_cell_angle_beta 100.02
_cell_angle_gamma 90.00
loop_
_space_group_symop_operation_xyz
'x,y,z'
'x,-y,z'
'x+1/2,y+1/2,z'
'x+1/2,-y+1/2,z'
loop_
_atom_site_label
_atom_site_fract_x
_atom_site_fract_y
_atom_site_fract_z
K1 0.000 0.000 0.000
Cl1 0.086 0.500 0.806
Cl2 0.185 0.000 0.485
Cl3 0.251 0.000 0.280
Cl4 0.317 0.000 0.050
Cl5 0.402 0.000 0.657
```

=====

# 2
Compound: Ho4ZnNiRu2
Source: Alexandria via LeMat-Bulk
Functional: PBE
Structure: optimized geometry

Properties
Energy of formation from the pure elements = -0.41 eV per atom

CIF file:
```
data_Ho4ZnNiRu2
_space_group_name_H-M_alt 'R -3 m'
_space_group_IT_number 166
_space_group_name_Hall '-R 3 2"'
_cell_length_a 4.8302
_cell_length_b 4.8302
_cell_length_c 23.7137
_cell_angle_alpha 90.00
_cell_angle_beta 90.00
_cell_angle_gamma 120.00
loop_
_atom_site_label
_atom_site_fract_x
_atom_site_fract_y
_atom_site_fract_z
Ho1 0.0000 0.0000 0.1219
Ho2 0.0000 0.0000 0.3726
Zn1 0.0000 0.0000 0.5000
Ni1 0.0000 0.0000 0.0000
Ru1 0.0000 0.0000 0.2492
```

=====

# 3
Compound: Sr2WBr
Source: Alexandria via LeMat-Bulk
Functional: PBE
Structure: optimized geometry

Properties
Formation energy (no corrections) = 0.633 eV per atom

CIF file:
```
data_Sr2WBr
_space_group_name_H-M_alt 'F m -3 m'
_space_group_IT_number 225
_space_group_name_Hall '-F 4 2 3'
_cell_length_a 8.034
_cell_length_b 8.034
_cell_length_c 8.034
_cell_angle_alpha 90.00
_cell_angle_beta 90.00
_cell_angle_gamma 90.00
loop_
_atom_site_label
_atom_site_fract_x
_atom_site_fract_y
_atom_site_fract_z
Sr1 0.250 0.250 0.250
W1 0.000 0.000 0.000
Br1 0.000 0.000 0.500
```

=====

| no. | density of states at the Fermi level (states/eV per cell) |
| --- | --- |
| 1 | 0.00 |
| 2 | 12.31 |
| 3 | 20.32 |